No. 1
Density functional theory data (GGA-PBE) for a relaxed structure of Be2TlF.

For the uncorrected formation energy, the calculation gives -1.1 eV/f.u. The total energy is -51.04 eV for the cell shown. The density of states at the Fermi level is 0.3842 states/eV/atom.

The structure belongs to space group I4_1/amd (No. 141, origin choice 2); the cell edges are 4.429, 4.429 and 11.747 Å and the angles 90.00°, 90.00° and 90.00°. The asymmetric unit holds Be at (0.000, 0.000, 0.000), Tl at (0.000, 0.250, 0.375) and F at (0.000, 0.250, 0.875).

No. 2
Density functional theory data (GGA-PBE) for a relaxed structure of NbAl2Ga2.

The calculation puts the formation energy at 75 meV/atom. The total energy is -46.47 eV for the cell shown. The density of states at the Fermi level is 0.5523 states/eV/atom.

The structure belongs to space group P4/mbm (No. 127); the cell edges are 7.010, 7.010 and 3.491 Å and the angles 90.00°, 90.00° and 90.00°. The asymmetric unit holds Nb at (0.000, 0.000, 0.000), Al at (0.135, 0.365, 0.000) and Ga at (0.166, 0.666, 0.500).

No. 3
Density functional theory data (GGA-PBE) for a relaxed structure of Ca3Br.

For the uncorrected formation energy, the calculation gives -2.2 eV/f.u. The total energy is -9.89 eV for the cell shown. The density of states at the Fermi level is 0.8346 states/eV/atom.

The structure belongs to space group Pmm2 (No. 25); the cell edges are 3.726, 3.770 and 10.600 Å and the angles 90.00°, 90.00° and 90.00°. The asymmetric unit holds Ca at (0.000, 0.000, 0.000), Ca at (0.000, 0.500, 0.427), Ca at (0.500, 0.500, 0.734) and Br at (0.500, 0.000, 0.252).

No. 4
Density functional theory data (GGA-PBE) for a relaxed structure of LaV2Fe2.

The calculation puts the formation energy at 335 meV/atom. The total energy is -76.83 eV for the cell shown. The density of states at the Fermi level is 1.4938 states/eV/atom.

The structure belongs to space group P4/mbm (No. 127); the cell edges are 7.414, 7.414 and 2.830 Å and the angles 90.00°, 90.00° and 90.00°. The asymmetric unit holds La at (0.000, 0.000, 0.000), V at (0.137, 0.363, 0.500) and Fe at (0.135, 0.635, 0.000).

No. 5
Density functional theory data (GGA-PBE) for a relaxed structure of Li2Ce2PuSi2.

For the uncorrected formation energy, the calculation gives -2.0 eV/f.u. The total energy is -128.72 eV for the cell shown. The density of states at the Fermi level is 1.7013 states/eV/atom.

The structure belongs to space group R-3m (No. 166, hexagonal axes); the cell edges are 4.5538, 4.5538 and 23.8729 Å and the angles 90.00°, 90.00° and 120.00°. The asymmetric unit holds Li at (0.0000, 0.0000, 0.1056), Ce at (0.0000, 0.0000, 0.3680), Pu at (0.0000, 0.0000, 0.5000) and Si at (0.0000, 0.0000, 0.2337).

No. 6
Density functional theory data (GGA-PBE) for a relaxed structure of Ac2YZn3.

The calculation puts the formation energy at -258 meV/atom. The total energy is -20.05 eV for the cell shown. The density of states at the Fermi level is 1.2051 states/eV/atom.

The structure belongs to space group P4/mmm (No. 123); the cell edges are 3.789, 3.789 and 11.459 Å and the angles 90.00°, 90.00° and 90.00°. The asymmetric unit holds Ac at (0.000, 0.000, 0.177), Y at (0.000, 0.000, 0.500), Zn at (0.500, 0.500, 0.000) and Zn at (0.500, 0.500, 0.363).

No. 7
Density functional theory data (GGA-PBE) for a relaxed structure of Ba2AlHg.

The calculation puts the formation energy at 195 meV/atom. The total energy is -28.44 eV for the cell shown. The density of states at the Fermi level is 1.5346 states/eV/atom.

The structure belongs to space group I-42d (No. 122); the cell edges are 5.858, 5.858 and 21.524 Å and the angles 90.00°, 90.00° and 90.00°. The asymmetric unit holds Ba at (0.248, 0.250, 0.125), Al at (0.000, 0.000, 0.500) and Hg at (0.000, 0.000, 0.000).

No. 8
Density functional theory data (GGA-PBE) for a relaxed structure of NaErTlCl5.

For the uncorrected formation energy, the calculation gives -14.8 eV/f.u. The total energy is -129.00 eV for the cell shown. The density of states at the Fermi level is 0.0000 states/eV/atom.

The structure belongs to space group C2/c (No. 15); the cell edges are 8.684, 12.851 and 10.095 Å and the angles 90.00°, 111.14° and 90.00°. The asymmetric unit holds Na at (0.000, 0.187, 0.250), Er at (0.000, 0.500, 0.000), Tl at (0.000, 0.150, 0.750), Cl at (0.000, 0.433, 0.750), Cl at (0.103, 0.313, 0.090) and Cl at (0.190, 0.050, 0.438).

No. 9
Density functional theory data (GGA-PBE) for a relaxed structure of Pr5Dy3Tm3.

The calculation puts the formation energy at 309 meV/atom. The total energy is -47.72 eV for the cell shown. The density of states at the Fermi level is 1.3983 states/eV/atom.

The structure belongs to space group P-62m (No. 189); the cell edges are 11.3026, 11.3026 and 3.4619 Å and the angles 90.00°, 90.00° and 120.00°. The asymmetric unit holds Pr at (0.0000, 0.6624, 0.0000), Pr at (0.3333, 0.6667, 0.0000), Dy at (0.0000, 0.4033, 0.5000) and Tm at (0.0000, 0.1589, 0.0000).